Density functional theory data (PBE with a Hubbard U) for a relaxed structure of LiCrP3O9.

CIF file:
```
data_LiCrP3O9
_space_group_name_H-M_alt 'P -1'
_space_group_IT_number 2
_cell_length_a 6.5809
_cell_length_b 6.9566
_cell_length_c 7.3416
_cell_angle_alpha 81.25
_cell_angle_beta 87.89
_cell_angle_gamma 87.40
loop_
_space_group_symop_operation_xyz
'x,y,z'
'-x,-y,-z'
loop_
_atom_site_label
_atom_site_type_symbol
_atom_site_fract_x
_atom_site_fract_y
_atom_site_fract_z
Li1 Li 0.1424 0.0546 0.1704
Cr1 Cr 0.1586 0.5807 0.1414
P1 P 0.1422 0.7303 0.5480
P2 P 0.3329 0.3894 0.7742
P3 P 0.3526 0.9539 0.7912
O1 O 0.0458 0.2714 0.3307
O2 O 0.1236 0.7702 0.3402
O3 O 0.1608 0.4079 0.9198
O4 O 0.1787 0.9047 0.9286
O5 O 0.2646 0.5208 0.5855
O6 O 0.3024 0.8789 0.5979
O7 O 0.3318 0.1848 0.7087
O8 O 0.4341 0.1033 0.1628
O9 O 0.4630 0.5560 0.1774
```

Properties
- spin magnetization (μB per cell) = 8.000
- DOS at the Fermi energy (states/eV per cell) = 0.00
- energy above the lowest structure with this stoichiometry (eV/atom) = 0.000
- energy (eV per cell) = -200.37